PmCdPtPb | PBE | relaxed

DFT formation energy: -1.91 eV/f.u.
V: 23.496 Å³ per atom
DOS at the Fermi energy: 2.228 states/eV/f.u.

abc: 5.103 5.103 5.103
angles: 60.00 60.00 60.00
Element x y z (fractional)
Cd 0.250 0.250 0.250
Pb 0.500 0.500 0.500
Pm 0.000 0.000 0.000
Pt 0.750 0.750 0.750